Entry 1:
# NaCdGe2O6

NaCdGe2O6 after structural relaxation (PBE, the Alexandria database).

a b c (Å): 7.1117 7.1117 5.5802
angles (deg): 100.85 100.85 84.26
With the nearest neighbours (Å) after each atom.
Fractional coordinates of all 20 atoms:
1 Na 0.1978 0.8022 0.7500  4 O 2.42-2.53
2 Na 0.8022 0.1978 0.2500  4 O 2.42-2.53
3 Cd 0.3977 0.6023 0.2500  6 O 2.23-2.33
4 Cd 0.6023 0.3977 0.7500  6 O 2.23-2.33
5 Ge 0.1227 0.2992 0.7649  4 O 1.75-1.81
6 Ge 0.2992 0.1227 0.2649  4 O 1.75-1.81
7 Ge 0.7008 0.8773 0.7351  4 O 1.75-1.81
8 Ge 0.8773 0.7008 0.2351  4 O 1.75-1.81
9 O 0.1073 0.6073 0.3479  1 Ge 1.75
10 O 0.1105 0.1784 0.0160  2 Ge 1.80-1.81
11 O 0.1784 0.1105 0.5160  2 Ge 1.80-1.81
12 O 0.2971 0.4712 0.8514  1 Ge 1.77
13 O 0.3927 0.8927 0.1521  1 Ge 1.75
14 O 0.4712 0.2971 0.3514  1 Ge 1.77
15 O 0.5288 0.7029 0.6486  1 Ge 1.77
16 O 0.6073 0.1073 0.8479  1 Ge 1.75
17 O 0.7029 0.5288 0.1486  1 Ge 1.77
18 O 0.8216 0.8895 0.4840  2 Ge 1.80-1.81
19 O 0.8895 0.8216 0.9840  2 Ge 1.80-1.81
20 O 0.8927 0.3927 0.6521  1 Ge 1.75

The formation energy without anion corrections comes out at -14.13 eV per formula unit. Its space group is C2/c.

Entry 2:
# BaCu3Si3

BaCu3Si3 after structural relaxation (PBE, the Alexandria database).

a b c (Å): 8.4518 8.4518 8.4518
angles (deg): 45.63 45.63 45.63
With the nearest neighbours (Å) after each atom.
Fractional coordinates of all 14 atoms:
1 Ba 0.1814 0.1814 0.1814  6 Si 3.33-3.37, 3 Cu 3.42
2 Ba 0.8186 0.8186 0.8186  6 Si 3.33-3.37, 3 Cu 3.42
3 Cu 0.1407 0.4196 0.5836  4 Si 2.40-2.53, 3 Cu 2.54-2.65
4 Cu 0.4164 0.8593 0.5804  4 Si 2.40-2.53, 3 Cu 2.54-2.65
5 Cu 0.4196 0.5836 0.1407  4 Si 2.40-2.53, 3 Cu 2.54-2.65
6 Cu 0.5804 0.4164 0.8593  4 Si 2.40-2.53, 3 Cu 2.54-2.65
7 Cu 0.5836 0.1407 0.4196  4 Si 2.40-2.53, 3 Cu 2.54-2.65
8 Cu 0.8593 0.5804 0.4164  4 Si 2.40-2.53, 3 Cu 2.54-2.65
9 Si 0.0062 0.1528 0.6941  4 Cu 2.40-2.53, 2 Si 2.66
10 Si 0.1528 0.6941 0.0062  4 Cu 2.40-2.53, 2 Si 2.66
11 Si 0.3059 0.9938 0.8472  4 Cu 2.40-2.53, 2 Si 2.66
12 Si 0.6941 0.0062 0.1528  4 Cu 2.40-2.53, 2 Si 2.66
13 Si 0.8472 0.3059 0.9938  4 Cu 2.40-2.53, 2 Si 2.66
14 Si 0.9938 0.8472 0.3059  4 Cu 2.40-2.53, 2 Si 2.66

The energy above the most stable polymorph in this dataset is 51 meV per atom. The formation energy without anion corrections comes out at 0.30 eV per formula unit. Its space group is R-3.

Entry 3:
# AlAgCl2

AlAgCl2 after structural relaxation (PBE, the Alexandria database).

a b c (Å): 6.9384 6.9384 6.9384
angles (deg): 147.18 147.18 47.10
With the nearest neighbours (Å) after each atom.
Fractional coordinates of all 4 atoms:
1 Al 0.0000 0.0000 0.0000  4 Cl 2.77
2 Ag 0.7500 0.2500 0.5000  4 Cl 2.77
3 Cl 0.2500 0.7500 0.5000  4 Ag 2.77
4 Cl 0.5000 0.5000 0.0000  4 Al 2.77

The energy above the most stable polymorph in this dataset is 494 meV per atom. The formation energy without anion corrections comes out at -1.01 eV per formula unit. Its space group is I-4m2.

Entry 4:
# Pm8AsP3S4

Pm8AsP3S4 after structural relaxation (PBE, the Alexandria database).

a b c (Å): 8.2067 8.2067 8.2067
angles (deg): 60.00 60.00 60.00
With the nearest neighbours (Å) after each atom.
Fractional coordinates of all 16 atoms:
1 Pm 0.2438 0.7507 0.7507  2 P 2.87, 3 S 2.89-2.93, 1 As 2.91
2 Pm 0.2474 0.2474 0.2474  3 P 2.87, 3 S 2.93
3 Pm 0.2493 0.2493 0.7562  2 P 2.87, 3 S 2.89-2.93, 1 As 2.91
4 Pm 0.2493 0.7562 0.2493  2 P 2.87, 3 S 2.89-2.93, 1 As 2.91
5 Pm 0.7507 0.2439 0.7507  2 P 2.87, 3 S 2.89-2.93, 1 As 2.91
6 Pm 0.7507 0.7507 0.2439  2 P 2.87, 3 S 2.89-2.93, 1 As 2.91
7 Pm 0.7526 0.7526 0.7526  3 P 2.87, 3 S 2.93
8 Pm 0.7562 0.2493 0.2493  2 P 2.87, 3 S 2.89-2.93, 1 As 2.91
9 As 0.5000 0.5000 0.5000  6 Pm 2.91
10 P 0.0000 0.0000 0.5000  6 Pm 2.87
11 P 0.0000 0.5000 0.0000  6 Pm 2.87
12 P 0.5000 0.0000 0.0000  6 Pm 2.87
13 S 0.0000 0.0000 0.0000  6 Pm 2.89
14 S 0.0000 0.5000 0.5000  6 Pm 2.93
15 S 0.5000 0.0000 0.5000  6 Pm 2.93
16 S 0.5000 0.5000 0.0000  6 Pm 2.93

The formation energy without anion corrections comes out at -29.55 eV per formula unit. Its space group is R-3m.

Entry 5:
# Y2Ni4GeP3

Y2Ni4GeP3 after structural relaxation (PBE, the Alexandria database).

a b c (Å): 3.9338 3.9338 9.5317
angles (deg): 90.00 90.00 90.00
With the nearest neighbours (Å) after each atom.
Fractional coordinates of all 10 atoms:
1 Y 0.0000 0.5000 0.2424  6 P 2.98-3.15, 8 Ni 3.02-3.03, 2 Ge 3.15
2 Y 0.5000 0.0000 0.7576  6 P 2.98-3.15, 8 Ni 3.02-3.03, 2 Ge 3.15
3 Ni 0.0000 0.0000 0.0000  4 P 2.33
4 Ni 0.0000 0.5000 0.6335  3 P 2.25-2.34, 2 Ge 2.34
5 Ni 0.5000 0.0000 0.3665  3 P 2.25-2.34, 2 Ge 2.34
6 Ni 0.5000 0.5000 0.0000  4 P 2.33
7 Ge 0.0000 0.0000 0.5000  4 Ni 2.34
8 P 0.0000 0.5000 0.8697  5 Ni 2.25-2.33
9 P 0.5000 0.0000 0.1303  5 Ni 2.25-2.33
10 P 0.5000 0.5000 0.5000  4 Ni 2.34

The energy of formation from the pure elements comes out at -0.923 eV/atom. Its space group is P-4m2.

Entry 6:
# LaTmBiSb

LaTmBiSb after structural relaxation (PBE, the Alexandria database).

a b c (Å): 7.8095 7.8095 7.8095
angles (deg): 33.77 33.77 33.77
With the nearest neighbours (Å) after each atom.
Fractional coordinates of all 4 atoms:
1 La 0.0000 0.0000 0.0000  3 Sb 3.25, 3 Bi 3.30
2 Tm 0.4962 0.4962 0.4962  3 Sb 3.11, 3 Bi 3.16
3 Bi 0.2426 0.2426 0.2426  3 Tm 3.16, 3 La 3.30
4 Sb 0.7536 0.7536 0.7536  3 Tm 3.11, 3 La 3.25

The formation energy without anion corrections comes out at -4.16 eV per formula unit. Its space group is R3m.

Entry 7:
# La4Tb6Sc

La4Tb6Sc after structural relaxation (PBE, the Alexandria database).

a b c (Å): 5.6593 5.6593 25.8122
angles (deg): 90.00 90.00 118.49
With the nearest neighbours (Å) after each atom.
Fractional coordinates of all 22 atoms:
1 La 0.0357 0.9643 0.6231  6 Tb 3.20-3.53
2 La 0.0357 0.9643 0.8769  6 Tb 3.20-3.53
3 La 0.3453 0.6547 0.5477  7 Tb 3.49-3.77, 2 La 3.59-3.89
4 La 0.3453 0.6547 0.9523  7 Tb 3.49-3.77, 2 La 3.59-3.89
5 La 0.6547 0.3453 0.0477  7 Tb 3.49-3.77, 2 La 3.59-3.89
6 La 0.6547 0.3453 0.4523  7 Tb 3.49-3.77, 2 La 3.59-3.89
7 La 0.9643 0.0357 0.1231  6 Tb 3.20-3.53
8 La 0.9643 0.0357 0.3769  6 Tb 3.20-3.53
9 Tb 0.0000 0.0000 0.0000  8 La 3.20-3.58
10 Tb 0.0000 0.0000 0.5000  8 La 3.20-3.58
11 Tb 0.0230 0.9770 0.7500  3 Sc 3.26-3.31, 2 La 3.28
12 Tb 0.3075 0.6925 0.1123  5 La 3.28-3.66, 1 Sc 3.55
13 Tb 0.3075 0.6925 0.3877  5 La 3.28-3.66, 1 Sc 3.55
14 Tb 0.3595 0.6405 0.6853  4 Tb 3.34-3.70, 4 La 3.53-3.73, 3 Sc 3.60-3.74
15 Tb 0.3595 0.6405 0.8147  4 Tb 3.34-3.70, 4 La 3.53-3.73, 3 Sc 3.60-3.74
16 Tb 0.6405 0.3595 0.1853  4 Tb 3.34-3.70, 4 La 3.53-3.73, 3 Sc 3.60-3.74
17 Tb 0.6405 0.3595 0.3147  4 Tb 3.34-3.70, 4 La 3.53-3.73, 3 Sc 3.60-3.74
18 Tb 0.6925 0.3075 0.6123  5 La 3.28-3.66, 1 Sc 3.55
19 Tb 0.6925 0.3075 0.8877  5 La 3.28-3.66, 1 Sc 3.55
20 Tb 0.9770 0.0230 0.2500  3 Sc 3.26-3.31, 2 La 3.28
21 Sc 0.3122 0.6878 0.2500  7 Tb 3.26-3.60
22 Sc 0.6878 0.3122 0.7500  7 Tb 3.26-3.60

The energy of formation from the pure elements comes out at 0.128 eV/atom. Its space group is Cmcm.